1:
# Ce6Tc2Ir

An optimized crystal structure of Ce6Tc2Ir (PBE, Alexandria via LeMat-Bulk).

## Properties
Fermi-level density of states   2.264 states/eV per atom
Crystal system   orthorhombic
Calculated volume   23.5 Å³/atom
Space group   Immm (71)

a = 8.2473 Å, b = 8.2473 Å, c = 8.2473 Å
α = 100.57°, β = 111.20°, γ = 117.07°
With the nearest neighbours (Å) after each atom.
Fractional coordinates of all 18 atoms:
Ce (0.8123, 0.7597, 0.5720)  2 Tc 2.85-3.16, 1 Ir 3.08
Ce (0.7127, 0.3748, 0.6622)  3 Tc 2.76-2.97, 1 Ir 3.01
Ce (0.7127, 0.0505, 0.3378)  3 Tc 2.76-2.97, 1 Ir 3.01
Ce (0.8123, 0.2403, 0.0526)  2 Tc 2.85-3.16, 1 Ir 3.08
Ce (0.5300, 0.7096, 0.8204)  3 Tc 2.86-2.88, 1 Ir 3.01
Ce (0.8893, 0.7096, 0.1796)  3 Tc 2.86-2.88, 1 Ir 3.01
Ce (0.2873, 0.9495, 0.6622)  3 Tc 2.76-2.97, 1 Ir 3.01
Ce (0.2873, 0.6252, 0.3378)  3 Tc 2.76-2.97, 1 Ir 3.01
Ce (0.1107, 0.2904, 0.8204)  3 Tc 2.86-2.88, 1 Ir 3.01
Ce (0.1877, 0.2403, 0.4280)  2 Tc 2.85-3.16, 1 Ir 3.08
Ce (0.1877, 0.7597, 0.9474)  2 Tc 2.85-3.16, 1 Ir 3.08
Ce (0.4700, 0.2904, 0.1796)  3 Tc 2.86-2.88, 1 Ir 3.01
Tc (0.6722, 0.0000, 0.6722)  8 Ce 2.85-2.97, 1 Ir 3.06
Tc (0.5000, 0.6422, 0.1422)  6 Ce 2.76-2.88, 1 Tc 3.00
Tc (0.5000, 0.3578, 0.8578)  6 Ce 2.76-2.88, 1 Tc 3.00
Tc (0.3278, 0.0000, 0.3278)  8 Ce 2.85-2.97, 1 Ir 3.06
Ir (0.0000, 0.0000, 0.0000)  8 Ce 3.01-3.08, 2 Tc 3.06
Ir (0.0000, 0.5000, 0.5000)  8 Ce 3.01-3.25



2:
# Ce6Tc2Ir

An optimized crystal structure of Ce6Tc2Ir (PBE, Alexandria via LeMat-Bulk).

## Properties
Fermi-level density of states   1.998 states/eV per atom
Crystal system   monoclinic
Calculated volume   25.0 Å³/atom
Space group   P2_1/c (14)

a = 6.4886 Å, b = 7.1329 Å, c = 9.7321 Å
α = 90.00°, β = 91.99°, γ = 90.00°
With the nearest neighbours (Å) after each atom.
Fractional coordinates of all 18 atoms:
Ce (0.8481, 0.6848, 0.9285)  1 Ir 2.73, 2 Tc 2.84-3.04
Ce (0.6616, 0.4305, 0.2664)  1 Tc 2.50
Ce (0.1643, 0.3515, 0.4446)  1 Ir 2.78, 2 Tc 2.99-3.05
Ce (0.6519, 0.1848, 0.5715)  1 Ir 2.73, 2 Tc 2.84-3.04
Ce (0.3481, 0.8152, 0.4285)  1 Ir 2.73, 2 Tc 2.84-3.04
Ce (0.8357, 0.6485, 0.5554)  1 Ir 2.78, 2 Tc 2.99-3.05
Ce (0.8384, 0.9305, 0.2336)  1 Tc 2.50
Ce (0.6643, 0.1485, 0.9446)  1 Ir 2.78, 2 Tc 2.99-3.05
Ce (0.1519, 0.3152, 0.0715)  1 Ir 2.73, 2 Tc 2.84-3.04
Ce (0.3384, 0.5695, 0.7336)  1 Tc 2.50
Ce (0.1616, 0.0695, 0.7664)  1 Tc 2.50
Ce (0.3357, 0.8515, 0.0554)  1 Ir 2.78, 2 Tc 2.99-3.05
Tc (0.0378, 0.6309, 0.2292)  1 Ce 2.50
Tc (0.5378, 0.8691, 0.7292)  1 Ce 2.50
Tc (0.4622, 0.1309, 0.2708)  1 Ce 2.50
Tc (0.9622, 0.3691, 0.7708)  1 Ce 2.50
Ir (0.0000, 0.0000, 0.5000)  6 Ce 2.73-2.81
Ir (0.5000, 0.5000, 0.0000)  6 Ce 2.73-2.81



Energetically preferred structure: 1 | next structure: +0.040 eV/atom



1:
# Ce8TcIr2

An optimized crystal structure of Ce8TcIr2 (PBE, Alexandria via LeMat-Bulk).

## Properties
Fermi-level density of states   2.175 states/eV per atom
Crystal system   monoclinic
Calculated volume   23.8 Å³/atom
Space group   C2/m (12)

a = 4.6602 Å, b = 6.7141 Å, c = 9.2417 Å
α = 109.78°, β = 104.60°, γ = 90.00°
With the nearest neighbours (Å) after each atom.
Fractional coordinates of all 11 atoms:
Ce (0.6709, 0.0233, 0.3419)  3 Ir 2.82-2.97, 2 Ce 2.94, 1 Tc 3.01
Ce (0.8028, 0.6926, 0.6057)  2 Ce 2.94, 1 Ir 3.18
Ce (0.5887, 0.4894, 0.1773)  2 Ir 2.92, 3 Ce 3.02-3.22, 1 Tc 3.11
Ce (0.9944, 0.2392, 0.9888)  2 Tc 2.85, 1 Ir 2.87, 2 Ce 3.02
Ce (0.0056, 0.7608, 0.0112)  2 Tc 2.85, 1 Ir 2.87, 2 Ce 3.02
Ce (0.3291, 0.9767, 0.6581)  3 Ir 2.82-2.97, 2 Ce 2.94, 1 Tc 3.01
Ce (0.1972, 0.3074, 0.3943)  2 Ce 2.94, 1 Ir 3.18
Ce (0.4113, 0.5106, 0.8227)  2 Ir 2.92, 3 Ce 3.02-3.22, 1 Tc 3.11
Ir (0.1637, 0.7424, 0.3274)  6 Ce 2.82-2.97
Ir (0.8363, 0.2576, 0.6726)  6 Ce 2.82-2.97
Tc (0.5000, 0.0000, 0.0000)  8 Ce 2.85-3.11



2:
# Ce8TcIr2

An optimized crystal structure of Ce8TcIr2 (PBE, Alexandria via LeMat-Bulk).

## Properties
Fermi-level density of states   2.573 states/eV per atom
Crystal system   monoclinic
Calculated volume   24.6 Å³/atom
Space group   Cm (8)

a = 5.8106 Å, b = 7.4368 Å, c = 7.4368 Å
α = 115.75°, β = 100.84°, γ = 100.84°
With the nearest neighbours (Å) after each atom.
Fractional coordinates of all 11 atoms:
Ce (0.0004, 0.2216, 0.7856)  1 Tc 2.75
Ce (0.4147, 0.9169, 0.7010)  2 Ce 2.72-2.88, 2 Ir 2.83-2.92
Ce (0.1642, 0.3685, 0.3685)  1 Tc 2.74, 2 Ir 3.03
Ce (0.0004, 0.7856, 0.2216)  1 Tc 2.75
Ce (0.5862, 0.0900, 0.3058)  2 Ce 2.72-2.88, 2 Ir 2.83-2.92
Ce (0.5862, 0.3058, 0.0900)  2 Ce 2.72-2.88, 2 Ir 2.83-2.92
Ce (0.8374, 0.6405, 0.6405)  1 Tc 2.65
Ce (0.4147, 0.7010, 0.9169)  2 Ce 2.72-2.88, 2 Ir 2.83-2.92
Ir (0.4986, 0.3124, 0.6928)  8 Ce 2.83-3.13
Ir (0.4986, 0.6928, 0.3124)  8 Ce 2.83-3.13
Tc (0.9983, 0.9989, 0.9989)  4 Ce 2.65-2.75



Energetically preferred structure: 1 | next structure: +0.016 eV/atom



1:
# Ce4TcIr

An optimized crystal structure of Ce4TcIr (PBE, Alexandria via LeMat-Bulk).

## Properties
Fermi-level density of states   2.083 states/eV per atom
Crystal system   orthorhombic
Calculated volume   25.4 Å³/atom
Space group   Cmc2_1 (36)

a = 5.2146 Å, b = 5.9146 Å, c = 10.2209 Å
α = 90.00°, β = 104.78°, γ = 90.00°
With the nearest neighbours (Å) after each atom.
Fractional coordinates of all 12 atoms:
Tc (0.1525, 0.3594, 0.3050)  1 Ce 2.39
Tc (0.8475, 0.8594, 0.6950)  1 Ce 2.39
Ce (0.5595, 0.3317, 0.1189)  3 Ir 2.73-3.02
Ce (0.2928, 0.6068, 0.5855)  3 Ce 2.69-2.96, 1 Ir 3.00
Ce (0.2763, 0.0578, 0.5525)  3 Ce 2.69-2.96
Ce (0.7072, 0.1068, 0.4145)  3 Ce 2.69-2.96, 1 Ir 3.00
Ce (0.7237, 0.5578, 0.4475)  3 Ce 2.69-2.96
Ce (0.8887, 0.2391, 0.7773)  1 Tc 2.39
Ce (0.1113, 0.7391, 0.2227)  1 Tc 2.39
Ce (0.4405, 0.8317, 0.8811)  3 Ir 2.73-3.02
Ir (0.5787, 0.8385, 0.1574)  6 Ce 2.73-3.02
Ir (0.4213, 0.3385, 0.8426)  6 Ce 2.73-3.02



2:
# Ce4TcIr

An optimized crystal structure of Ce4TcIr (PBE, Alexandria via LeMat-Bulk).

## Properties
Fermi-level density of states   2.309 states/eV per atom
Crystal system   monoclinic
Calculated volume   23.8 Å³/atom
Space group   C2/c (15)

a = 6.0940 Å, b = 7.5783 Å, c = 7.5783 Å
α = 110.05°, β = 106.41°, γ = 106.41°
With the nearest neighbours (Å) after each atom.
Fractional coordinates of all 12 atoms:
Ce (0.7045, 0.2378, 0.3979)  2 Ce 2.93-3.17, 2 Tc 2.95-3.08, 2 Ir 2.95-2.96
Ce (0.7955, 0.6021, 0.7622)  2 Ce 2.93-3.17, 2 Tc 2.95-3.08, 2 Ir 2.95-2.96
Ce (0.0904, 0.9409, 0.3009)  2 Tc 2.82-2.89, 2 Ir 3.00-3.01
Ce (0.4096, 0.6991, 0.0591)  2 Tc 2.82-2.89, 2 Ir 3.00-3.01
Ce (0.9096, 0.0591, 0.6991)  2 Tc 2.82-2.89, 2 Ir 3.00-3.01
Ce (0.5904, 0.3009, 0.9409)  2 Tc 2.82-2.89, 2 Ir 3.00-3.01
Ce (0.2045, 0.3979, 0.2378)  2 Ce 2.93-3.17, 2 Tc 2.95-3.08, 2 Ir 2.95-2.96
Ce (0.2955, 0.7622, 0.6021)  2 Ce 2.93-3.17, 2 Tc 2.95-3.08, 2 Ir 2.95-2.96
Tc (0.7500, 0.0019, 0.9981)  8 Ce 2.82-3.08, 2 Tc 3.05
Tc (0.2500, 0.9981, 0.0019)  8 Ce 2.82-3.08, 2 Tc 3.05
Ir (0.7500, 0.6273, 0.3727)  8 Ce 2.95-3.01
Ir (0.2500, 0.3727, 0.6273)  8 Ce 2.95-3.01



Energetically preferred structure: 2 | next structure: +0.133 eV/atom



1:
# CeThIr

An optimized crystal structure of CeThIr (PBE, Alexandria via LeMat-Bulk).

## Properties
Fermi-level density of states   2.015 states/eV per atom
Crystal system   monoclinic
Calculated volume   27.9 Å³/atom
Space group   P2_1/c (14)

a = 7.1442 Å, b = 7.1941 Å, c = 7.1530 Å
α = 65.47°, β = 90.00°, γ = 90.00°
With the nearest neighbours (Å) after each atom.
Fractional coordinates of all 12 atoms:
Ir (0.0509, 0.4261, 0.7256)  4 Ce 2.81-3.12, 3 Th 2.83-2.98, 1 Ir 3.04
Ir (0.4491, 0.4261, 0.2256)  4 Ce 2.81-3.12, 3 Th 2.83-2.98, 1 Ir 3.04
Ir (0.5509, 0.5739, 0.7744)  4 Ce 2.81-3.12, 3 Th 2.83-2.98, 1 Ir 3.04
Ir (0.9491, 0.5739, 0.2744)  4 Ce 2.81-3.12, 3 Th 2.83-2.98, 1 Ir 3.04
Ce (0.8170, 0.3011, 0.0724)  4 Ir 2.81-3.12
Ce (0.1830, 0.6989, 0.9276)  4 Ir 2.81-3.12
Ce (0.6830, 0.3011, 0.5724)  4 Ir 2.81-3.12
Ce (0.3170, 0.6989, 0.4276)  4 Ir 2.81-3.12
Th (0.6644, 0.8107, 0.0077)  3 Ir 2.83-2.98
Th (0.3356, 0.1893, 0.9923)  3 Ir 2.83-2.98
Th (0.1644, 0.1893, 0.4923)  3 Ir 2.83-2.98
Th (0.8356, 0.8107, 0.5077)  3 Ir 2.83-2.98



2:
# CeThIr

An optimized crystal structure of CeThIr (PBE, Alexandria via LeMat-Bulk).

## Properties
Fermi-level density of states   1.458 states/eV per atom
Crystal system   trigonal
Calculated volume   24.6 Å³/atom
Space group   P3m1 (156)

a = 4.0677 Å, b = 4.5754 Å, c = 4.5754 Å
α = 120.00°, β = 90.00°, γ = 90.00°
With the nearest neighbours (Å) after each atom.
Fractional coordinates of all 3 atoms:
Ir (0.9995, 0.0000, 0.0000)  3 Ce 2.92, 3 Th 2.92
Ce (0.6933, 0.6667, 0.3333)  3 Ir 2.92, 3 Th 3.07
Th (0.3072, 0.3333, 0.6667)  3 Ir 2.92, 3 Ce 3.07



3:
# CeThIr

An optimized crystal structure of CeThIr (PBE, Alexandria via LeMat-Bulk).

## Properties
Fermi-level density of states   2.732 states/eV per atom
Crystal system   cubic
Calculated volume   28.0 Å³/atom
Space group   F-43m (216)

a = 4.9167 Å, b = 4.9167 Å, c = 4.9167 Å
α = 60.00°, β = 60.00°, γ = 60.00°
With the nearest neighbours (Å) after each atom.
Fractional coordinates of all 3 atoms:
Th (0.0000, 0.0000, 0.0000)  4 Ir 3.01
Ir (0.2500, 0.2500, 0.2500)  4 Ce 3.01, 4 Th 3.01
Ce (0.5000, 0.5000, 0.5000)  4 Ir 3.01



Energetically preferred structure: 2 | next structure: +0.009 eV/atom



1:
# CeThIr

An optimized crystal structure of CeThIr (PBE, Alexandria via LeMat-Bulk).

## Properties
Fermi-level density of states   1.558 states/eV per atom
Crystal system   monoclinic
Calculated volume   24.4 Å³/atom
Space group   P2_1/m (11)

a = 4.1231 Å, b = 4.0955 Å, c = 8.6781 Å
α = 91.57°, β = 89.98°, γ = 89.99°
With the nearest neighbours (Å) after each atom.
Fractional coordinates of all 6 atoms:
Th (0.5230, 0.3304, 0.3769)  5 Ir 2.94-3.07
Th (0.0228, 0.8453, 0.6699)  5 Ir 2.94-3.07
Ce (0.5227, 0.8171, 0.0206)  4 Ce 2.79-3.03
Ce (0.0233, 0.3585, 0.0263)  4 Ce 2.79-3.03
Ir (0.5228, 0.3437, 0.7306)  5 Th 2.94-3.07, 2 Ce 3.13-3.29
Ir (0.0230, 0.8320, 0.3163)  5 Th 2.94-3.07, 2 Ce 3.13-3.29



2:
# CeThIr

An optimized crystal structure of CeThIr (PBE, Alexandria via LeMat-Bulk).

## Properties
Fermi-level density of states   1.134 states/eV per atom
Crystal system   tetragonal
Calculated volume   23.7 Å³/atom
Space group   I4mm (107)

a = 3.7090 Å, b = 3.7090 Å, c = 5.8021 Å
α = 108.64°, β = 108.64°, γ = 90.00°
With the nearest neighbours (Å) after each atom.
Fractional coordinates of all 3 atoms:
Ce (0.9860, 0.9860, 0.9719)  4 Ir 3.07, 5 Th 3.14-3.32
Th (0.6825, 0.6825, 0.3649)  4 Ir 3.04, 5 Ce 3.14-3.32
Ir (0.3316, 0.3316, 0.6631)  4 Th 3.04, 4 Ce 3.07



Energetically preferred structure: 1 | next structure: +0.142 eV/atom